Material: PaCuSi2Pd
Method: DFT, PBE
State: optimized geometry

Output
- ΔE_f (raw): -0.644 eV per atom
- Symmetry: No. 119
- D(E_F): 3.06 states/eV/cell
- Spin magnetization: 0.000 μB per formula unit
- Crystal system: tetragonal
- Final energy: -6.570 eV/atom

Cell: 5.8030 5.8030 5.8030 Å, 139.13 139.13 59.17°
With the nearest neighbours (Å) after each atom.
Fractional positions:
Pa 0.0000 0.0000 0.0000  8 Si 3.09, 4 Cu 3.24, 4 Pd 3.24
Cu 0.7500 0.2500 0.5000  4 Si 2.44
Si 0.3852 0.3852 0.0000  1 Si 2.32, 2 Cu 2.44, 2 Pd 2.44
Si 0.6148 0.6148 0.0000  1 Si 2.32, 2 Cu 2.44, 2 Pd 2.44
Pd 0.2500 0.7500 0.5000  4 Si 2.44

Material: PaCuSiPd
Method: DFT, PBE
State: optimized geometry

Output
- ΔE_f (raw): -0.245 eV per atom
- Symmetry: No. 216
- D(E_F): 3.36 states/eV/cell
- Spin magnetization: 0.008 μB per formula unit
- Crystal system: cubic
- Final energy: -6.297 eV/atom

Cell: 4.6296 4.6296 4.6296 Å, 60.00 60.00 60.00°
With the nearest neighbours (Å) after each atom.
Fractional positions:
Pa 0.0000 0.0000 0.0000  4 Cu 2.84, 4 Si 2.84
Cu 0.2500 0.2500 0.2500  4 Pa 2.84, 4 Pd 2.84
Si 0.7500 0.7500 0.7500  4 Pa 2.84, 4 Pd 2.84
Pd 0.5000 0.5000 0.5000  4 Cu 2.84, 4 Si 2.84

Material: Pa2Cu3Si4Pd
Method: DFT, PBE
State: optimized geometry

Output
- ΔE_f (raw): -0.486 eV per atom
- Symmetry: No. 115
- D(E_F): 5.82 states/eV/cell
- Spin magnetization: 0.000 μB per formula unit
- Crystal system: tetragonal
- Final energy: -6.303 eV/atom

Cell: 4.1137 4.1137 9.6270 Å, 90.00 90.00 90.00°
With the nearest neighbours (Å) after each atom.
Fractional positions:
Pa 0.0000 0.5000 0.2461  8 Si 3.11-3.14, 6 Cu 3.14-3.19, 2 Pd 3.19
Pa 0.5000 0.0000 0.7539  8 Si 3.11-3.14, 6 Cu 3.14-3.19, 2 Pd 3.19
Cu 0.0000 0.5000 0.8774  5 Si 2.30-2.37
Cu 0.5000 0.0000 0.1226  5 Si 2.30-2.37
Cu 0.5000 0.5000 0.5000  4 Si 2.45
Si 0.0000 0.0000 0.0000  4 Cu 2.37
Si 0.0000 0.5000 0.6387  3 Cu 2.30-2.45, 2 Pd 2.45
Si 0.5000 0.0000 0.3613  3 Cu 2.30-2.45, 2 Pd 2.45
Si 0.5000 0.5000 0.0000  4 Cu 2.37
Pd 0.0000 0.0000 0.5000  4 Si 2.45

Material: ThPaCuPd
Method: DFT, PBE
State: optimized geometry

Output
- Symmetry: No. 216
- D(E_F): 5.93 states/eV/cell
- Energy relative to the elements: -0.65 eV/f.u.
- Spin magnetization: 0.366 μB per formula unit
- Crystal system: cubic
- Final energy: -6.714 eV/atom

Cell: 5.0023 5.0023 5.0023 Å, 60.00 60.00 60.00°
With the nearest neighbours (Å) after each atom.
Fractional positions:
Th 0.0000 0.0000 0.0000  4 Pd 3.06, 4 Cu 3.06
Pa 0.5000 0.5000 0.5000  4 Cu 3.06, 4 Pd 3.06
Cu 0.2500 0.2500 0.2500  4 Th 3.06, 4 Pa 3.06
Pd 0.7500 0.7500 0.7500  4 Th 3.06, 4 Pa 3.06

Material: PaTlCuPd
Method: DFT, PBE
State: optimized geometry

Output
- Symmetry: No. 216
- D(E_F): 3.14 states/eV/cell
- Energy relative to the elements: -0.65 eV/f.u.
- Spin magnetization: 0.002 μB per formula unit
- Crystal system: cubic
- Final energy: -5.450 eV/atom

Cell: 4.8316 4.8316 4.8316 Å, 60.00 60.00 60.00°
With the nearest neighbours (Å) after each atom.
Fractional positions:
Pa 0.0000 0.0000 0.0000  4 Pd 2.96, 4 Cu 2.96
Tl 0.5000 0.5000 0.5000  4 Pd 2.96, 4 Cu 2.96
Cu 0.2500 0.2500 0.2500  4 Tl 2.96, 4 Pa 2.96
Pd 0.7500 0.7500 0.7500  4 Tl 2.96, 4 Pa 2.96

Material: PmPaCuRe
Method: DFT, PBE
State: optimized geometry

Output
- Symmetry: No. 216
- D(E_F): 6.41 states/eV/cell
- Energy relative to the elements: 0.54 eV/f.u.
- Spin magnetization: 0.000 μB per formula unit
- Crystal system: cubic
- Final energy: -7.563 eV/atom

Cell: 4.9350 4.9350 4.9350 Å, 60.00 60.00 60.00°
With the nearest neighbours (Å) after each atom.
Fractional positions:
Pm 0.0000 0.0000 0.0000  4 Re 3.02, 4 Cu 3.02
Pa 0.5000 0.5000 0.5000  4 Cu 3.02, 4 Re 3.02
Cu 0.2500 0.2500 0.2500  4 Pa 3.02, 4 Pm 3.02
Re 0.7500 0.7500 0.7500  4 Pa 3.02, 4 Pm 3.02

Material: PmPaCuRh
Method: DFT, PBE
State: optimized geometry

Output
- Symmetry: No. 216
- D(E_F): 5.64 states/eV/cell
- Energy relative to the elements: -0.97 eV/f.u.
- Spin magnetization: 0.358 μB per formula unit
- Crystal system: cubic
- Final energy: -6.667 eV/atom

Cell: 4.9315 4.9315 4.9315 Å, 60.00 60.00 60.00°
With the nearest neighbours (Å) after each atom.
Fractional positions:
Pm 0.0000 0.0000 0.0000  4 Cu 3.02, 4 Rh 3.02
Pa 0.5000 0.5000 0.5000  4 Cu 3.02, 4 Rh 3.02
Cu 0.7500 0.7500 0.7500  4 Pm 3.02, 4 Pa 3.02
Rh 0.2500 0.2500 0.2500  4 Pa 3.02, 4 Pm 3.02

Material: PmPaCuRu
Method: DFT, PBE
State: optimized geometry

Output
- Symmetry: No. 216
- D(E_F): 4.84 states/eV/cell
- Energy relative to the elements: -0.41 eV/f.u.
- Spin magnetization: 0.000 μB per formula unit
- Crystal system: cubic
- Final energy: -7.007 eV/atom

Cell: 4.9098 4.9098 4.9098 Å, 60.00 60.00 60.00°
With the nearest neighbours (Å) after each atom.
Fractional positions:
Pm 0.0000 0.0000 0.0000  4 Ru 3.01, 4 Cu 3.01
Pa 0.5000 0.5000 0.5000  4 Ru 3.01, 4 Cu 3.01
Cu 0.2500 0.2500 0.2500  4 Pa 3.01, 4 Pm 3.01
Ru 0.7500 0.7500 0.7500  4 Pa 3.01, 4 Pm 3.01

Material: Pm2PaCuS6
Method: DFT, PBE
State: optimized geometry

Output
- ΔE_f (raw): -1.294 eV per atom
- Symmetry: No. 99
- Spin magnetization: 0.000 μB per formula unit
- Crystal system: tetragonal
- Final energy: -6.080 eV/atom

Cell: 6.4790 6.4790 6.0860 Å, 90.00 90.00 90.00°
With the nearest neighbours (Å) after each atom.
Fractional positions:
Pm 0.0000 0.5000 0.0000  4 S 2.82
Pm 0.5000 0.0000 0.0000  4 S 2.82
Pa 0.0000 0.0000 0.6039  5 S 2.54-2.70
Cu 0.5000 0.5000 0.5436  5 S 2.22-2.45
S 0.0000 0.0000 0.1606  1 Pa 2.70
S 0.2637 0.2637 0.7315  1 Cu 2.45, 1 Pa 2.54
S 0.2637 0.7363 0.7315  1 Cu 2.45, 1 Pa 2.54
S 0.5000 0.5000 0.1795  1 Cu 2.22
S 0.7363 0.2637 0.7315  1 Cu 2.45, 1 Pa 2.54
S 0.7363 0.7363 0.7315  1 Cu 2.45, 1 Pa 2.54

Material: Pm2PaCuSe5
Method: DFT, PBE
State: optimized geometry

Output
- ΔE_f (raw): -1.423 eV per atom
- Symmetry: No. 36
- D(E_F): 10.04 states/eV/cell
- Spin magnetization: 1.198 μB per formula unit
- Crystal system: orthorhombic
- Final energy: -5.925 eV/atom

Cell: 8.9390 8.9390 12.5760 Å, 90.00 90.00 154.33°
With the nearest neighbours (Å) after each atom.
Fractional positions:
Pm 0.1085 0.8915 0.5000  7 Se 2.97-3.16
Pm 0.1190 0.8810 0.8486  8 Se 2.99-3.27
Pm 0.8810 0.1190 0.3486  8 Se 2.99-3.27
Pm 0.8915 0.1085 0.0000  7 Se 2.97-3.16
Pa 0.1803 0.8197 0.1784  6 Se 2.81-2.90
Pa 0.8197 0.1803 0.6784  6 Se 2.81-2.90
Cu 0.4452 0.5548 0.5739  4 Se 2.40-2.46
Cu 0.5548 0.4452 0.0739  4 Se 2.40-2.46
Se 0.0190 0.9810 0.1725  2 Cu 2.42
Se 0.3052 0.6948 0.8450  2 Pa 2.90, 2 Pm 3.16
Se 0.3114 0.6886 0.5109  1 Cu 2.46
Se 0.3454 0.6546 0.1728  1 Pa 2.88, 4 Pm 3.04-3.05
Se 0.4967 0.5033 0.9012  1 Cu 2.40
Se 0.5033 0.4967 0.4012  1 Cu 2.40
Se 0.6546 0.3454 0.6728  1 Pa 2.88, 4 Pm 3.04-3.05
Se 0.6886 0.3114 0.0109  1 Cu 2.46
Se 0.6948 0.3052 0.3451  2 Pa 2.90, 2 Pm 3.16
Se 0.9810 0.0190 0.6725  2 Cu 2.42

Material: PmPaCuSn
Method: DFT, PBE
State: optimized geometry

Output
- Symmetry: No. 216
- D(E_F): 8.70 states/eV/cell
- Energy relative to the elements: -0.17 eV/f.u.
- Spin magnetization: 1.156 μB per formula unit
- Crystal system: cubic
- Final energy: -5.629 eV/atom

Cell: 5.2071 5.2071 5.2071 Å, 60.00 60.00 60.00°
With the nearest neighbours (Å) after each atom.
Fractional positions:
Pm 0.0000 0.0000 0.0000  4 Cu 3.19, 4 Sn 3.19
Pa 0.5000 0.5000 0.5000  4 Cu 3.19, 4 Sn 3.19
Cu 0.7500 0.7500 0.7500  4 Pm 3.19, 4 Pa 3.19
Sn 0.2500 0.2500 0.2500  4 Pa 3.19, 4 Pm 3.19

Material: PrPaCu2
Method: DFT, PBE
State: optimized geometry

Output
- E above lowest polymorph: 181 meV/atom
- Symmetry: No. 166
- D(E_F): 5.13 states/eV/cell
- Energy relative to the elements: 1.04 eV/f.u.
- Spin magnetization: 0.000 μB per formula unit
- Crystal system: trigonal
- Final energy: -5.357 eV/atom

Cell: 9.0008 9.0008 9.0008 Å, 22.12 22.12 22.12°
With the nearest neighbours (Å) after each atom.
Fractional positions:
Pr 0.0000 0.0000 0.0000  6 Cu 3.04
Pa 0.5000 0.5000 0.5000  6 Cu 2.89
Cu 0.2464 0.2464 0.2464  3 Pa 2.89, 3 Pr 3.04
Cu 0.7536 0.7536 0.7536  3 Pa 2.89, 3 Pr 3.04

Material: PrPaCu2
Method: DFT, PBE
State: optimized geometry

Output
- E above lowest polymorph: 0 meV/atom
- Symmetry: No. 123
- D(E_F): 5.71 states/eV/cell
- Energy relative to the elements: 0.32 eV/f.u.
- Spin magnetization: 0.000 μB per formula unit
- Crystal system: tetragonal
- Final energy: -5.538 eV/atom

Cell: 3.2374 3.2374 8.0986 Å, 90.00 90.00 90.00°
With the nearest neighbours (Å) after each atom.
Fractional positions:
Pr 0.0000 0.0000 0.0000  8 Cu 3.14, 4 Pr 3.24
Pa 0.0000 0.0000 0.5000  8 Cu 2.98, 4 Pa 3.24
Cu 0.5000 0.5000 0.2650  4 Pa 2.98, 4 Pr 3.14, 4 Cu 3.24
Cu 0.5000 0.5000 0.7350  4 Pa 2.98, 4 Pr 3.14, 4 Cu 3.24

Material: PrPaCuRu
Method: DFT, PBE
State: optimized geometry

Output
- Symmetry: No. 216
- D(E_F): 5.15 states/eV/cell
- Energy relative to the elements: -0.18 eV/f.u.
- Spin magnetization: 0.001 μB per formula unit
- Crystal system: cubic
- Final energy: -6.958 eV/atom

Cell: 4.9418 4.9418 4.9418 Å, 60.00 60.00 60.00°
With the nearest neighbours (Å) after each atom.
Fractional positions:
Pr 0.0000 0.0000 0.0000  4 Ru 3.03, 4 Cu 3.03
Pa 0.5000 0.5000 0.5000  4 Ru 3.03, 4 Cu 3.03
Cu 0.7500 0.7500 0.7500  4 Pr 3.03, 4 Pa 3.03
Ru 0.2500 0.2500 0.2500  4 Pa 3.03, 4 Pr 3.03

Material: Pr2PaCuS6
Method: DFT, PBE
State: optimized geometry

Output
- ΔE_f (raw): -1.320 eV per atom
- Symmetry: No. 99
- Spin magnetization: 0.000 μB per formula unit
- Crystal system: tetragonal
- Final energy: -6.111 eV/atom

Cell: 6.5621 6.5621 5.9675 Å, 90.00 90.00 90.00°
With the nearest neighbours (Å) after each atom.
Fractional positions:
Pr 0.0000 0.5000 0.0000  4 S 2.87
Pr 0.5000 0.0000 0.0000  4 S 2.87
Pa 0.0000 0.0000 0.6055  5 S 2.54-2.71
Cu 0.5000 0.5000 0.5418  5 S 2.22-2.43
S 0.0000 0.0000 0.1510  1 Pa 2.71
S 0.2637 0.2637 0.7181  1 Cu 2.43, 1 Pa 2.54
S 0.2637 0.7363 0.7181  1 Cu 2.43, 1 Pa 2.54
S 0.5000 0.5000 0.1705  1 Cu 2.22
S 0.7363 0.2637 0.7181  1 Cu 2.43, 1 Pa 2.54
S 0.7363 0.7363 0.7181  1 Cu 2.43, 1 Pa 2.54

Material: Pr2PaCuS5
Method: DFT, PBE
State: optimized geometry

Output
- ΔE_f (raw): -1.620 eV per atom
- Symmetry: No. 36
- D(E_F): 8.34 states/eV/cell
- Spin magnetization: 1.096 μB per formula unit
- Crystal system: orthorhombic
- Final energy: -6.486 eV/atom

Cell: 8.5408 8.5408 12.1918 Å, 90.00 90.00 153.81°
With the nearest neighbours (Å) after each atom.
Fractional positions:
Pr 0.1163 0.8837 0.5000  7 S 2.90-3.09
Pr 0.1167 0.8833 0.8507  8 S 2.89-3.17
Pr 0.8833 0.1167 0.3507  8 S 2.89-3.17
Pr 0.8837 0.1163 0.0000  7 S 2.90-3.09
Pa 0.1816 0.8184 0.1817  6 S 2.68-2.77
Pa 0.8184 0.1816 0.6817  6 S 2.68-2.77
Cu 0.4489 0.5511 0.5759  4 S 2.26-2.36
Cu 0.5511 0.4489 0.0759  4 S 2.26-2.36
S 0.0209 0.9791 0.1705  2 Cu 2.31
S 0.3028 0.6972 0.8422  2 Pa 2.76, 2 Pr 3.04
S 0.3135 0.6865 0.5193  1 Cu 2.36
S 0.3450 0.6550 0.1758  1 Pa 2.72, 4 Pr 2.95-2.96
S 0.4941 0.5059 0.9072  1 Cu 2.26
S 0.5059 0.4941 0.4072  1 Cu 2.26
S 0.6550 0.3450 0.6758  1 Pa 2.72, 4 Pr 2.95-2.96
S 0.6865 0.3135 0.0193  1 Cu 2.36
S 0.6972 0.3028 0.3422  2 Pa 2.76, 2 Pr 3.04
S 0.9791 0.0209 0.6705  2 Cu 2.31

Material: PaCu4Pt8
Method: DFT, PBE
State: optimized geometry

Output
- Symmetry: No. 139
- D(E_F): 9.84 states/eV/cell
- Energy relative to the elements: -4.88 eV/f.u.
- Spin magnetization: 0.000 μB per formula unit
- Crystal system: tetragonal
- Final energy: -6.083 eV/atom

Cell: 6.7735 6.7735 6.7735 Å, 98.28 98.28 135.39°
With the nearest neighbours (Å) after each atom.
Fractional positions:
Pa 0.0000 0.0000 0.0000  12 Pt 2.99-3.22
Cu 0.0000 0.0000 0.5000  2 Cu 2.57, 8 Pt 2.58-2.68
Cu 0.0000 0.5000 0.0000  2 Cu 2.57, 8 Pt 2.58-2.68
Cu 0.5000 0.0000 0.0000  2 Cu 2.57, 8 Pt 2.58-2.68
Cu 0.5000 0.5000 0.5000  2 Cu 2.57, 8 Pt 2.58-2.68
Pt 0.0000 0.3378 0.3378  4 Cu 2.68, 5 Pt 2.78-2.87, 1 Pa 2.99
Pt 0.0000 0.6622 0.6622  4 Cu 2.68, 5 Pt 2.78-2.87, 1 Pa 2.99
Pt 0.2809 0.5000 0.7809  4 Cu 2.58, 6 Pt 2.75-2.87
Pt 0.3378 0.0000 0.3378  4 Cu 2.68, 5 Pt 2.78-2.87, 1 Pa 2.99
Pt 0.5000 0.2809 0.7809  4 Cu 2.58, 6 Pt 2.75-2.87
Pt 0.5000 0.7191 0.2191  4 Cu 2.58, 6 Pt 2.75-2.87
Pt 0.6622 0.0000 0.6622  4 Cu 2.68, 5 Pt 2.78-2.87, 1 Pa 2.99
Pt 0.7191 0.5000 0.2191  4 Cu 2.58, 6 Pt 2.75-2.87

Material: PaCuPt6
Method: DFT, PBE
State: optimized geometry

Output
- E above lowest polymorph: 0 meV/atom
- Symmetry: No. 187
- D(E_F): 6.61 states/eV/cell
- Energy relative to the elements: -4.40 eV/f.u.
- Spin magnetization: 0.000 μB per formula unit
- Crystal system: hexagonal
- Final energy: -6.780 eV/atom

Cell: 5.7562 5.7562 4.6650 Å, 90.00 90.00 120.00°
With the nearest neighbours (Å) after each atom.
Fractional positions:
Pa 0.0000 0.0000 0.0000  12 Pt 2.88
Cu 0.3333 0.6667 0.5000  12 Pt 2.85-2.88
Pt 0.0049 0.5024 0.0000  8 Pt 2.84-2.92, 2 Cu 2.85, 2 Pa 2.88
Pt 0.3398 0.1699 0.5000  8 Pt 2.82-2.93, 2 Cu 2.88, 2 Pa 2.88
Pt 0.4976 0.5024 0.0000  8 Pt 2.84-2.92, 2 Cu 2.85, 2 Pa 2.88
Pt 0.4976 0.9951 0.0000  8 Pt 2.84-2.92, 2 Cu 2.85, 2 Pa 2.88
Pt 0.8301 0.1699 0.5000  8 Pt 2.82-2.93, 2 Cu 2.88, 2 Pa 2.88
Pt 0.8301 0.6602 0.5000  8 Pt 2.82-2.93, 2 Cu 2.88, 2 Pa 2.88

Material: Pa2CuPt
Method: DFT, PBE
State: optimized geometry

Output
- E above lowest polymorph: 76 meV/atom
- Symmetry: No. 123
- D(E_F): 7.24 states/eV/cell
- Energy relative to the elements: -1.22 eV/f.u.
- Spin magnetization: 0.001 μB per formula unit
- Crystal system: tetragonal
- Final energy: -7.586 eV/atom

Cell: 3.6237 3.6237 6.2994 Å, 90.00 90.00 90.00°
With the nearest neighbours (Å) after each atom.
Fractional positions:
Pa 0.0000 0.0000 0.2439  4 Cu 2.99, 4 Pt 3.03, 2 Pa 3.07-3.23
Pa 0.0000 0.0000 0.7561  4 Cu 2.99, 4 Pt 3.03, 2 Pa 3.07-3.23
Cu 0.5000 0.5000 0.0000  8 Pa 2.99, 2 Pt 3.15
Pt 0.5000 0.5000 0.5000  8 Pa 3.03, 2 Cu 3.15

Material: PaCuPt
Method: DFT, PBE
State: optimized geometry

Output
- E above lowest polymorph: 0 meV/atom
- Symmetry: No. 194
- D(E_F): 5.49 states/eV/cell
- Energy relative to the elements: -1.91 eV/f.u.
- Spin magnetization: 0.000 μB per formula unit
- Crystal system: hexagonal
- Final energy: -7.179 eV/atom

Cell: 4.4804 4.4804 6.3850 Å, 90.00 90.00 120.00°
With the nearest neighbours (Å) after each atom.
Fractional positions:
Pa 0.0000 0.0000 0.0000  6 Pt 3.04, 6 Cu 3.04, 2 Pa 3.19
Pa 0.0000 0.0000 0.5000  6 Cu 3.04, 6 Pt 3.04, 2 Pa 3.19
Cu 0.3333 0.6667 0.2500  3 Pt 2.59
Cu 0.6667 0.3333 0.7500  3 Pt 2.59
Pt 0.3333 0.6667 0.7500  3 Cu 2.59
Pt 0.6667 0.3333 0.2500  3 Cu 2.59